An optimized crystal structure of Nd2DyHoSe5, computed with PBE.

The space group is P4/mmm (No. 123) and the conventional cell measures 5.124, 5.124 and 10.730 Å, with angles of 90.00, 90.00 and 90.00 degrees. Symmetry generates all atoms from Nd at (0.000, 0.000, 0.181), Dy at (0.500, 0.500, 0.500), Ho at (0.500, 0.500, 0.000), Se at (0.000, 0.000, 0.500), Se at (0.000, 0.500, 0.000) and Se at (0.500, 0.500, 0.254).

The calculation puts the total energy at -0.194 Ha/atom. Its density of states at the Fermi level is 6.365 states/eV/f.u. The value obtained for the volume is 31.30 Å³/atom.

An optimized crystal structure of NdSmDy2Ho, computed with PBE.

The space group is Cmcm (No. 63) and the conventional cell measures 8.424, 11.544 and 7.175 Å, with angles of 90.00, 90.00 and 90.00 degrees. Symmetry generates all atoms from Nd at (0.000, 0.228, 0.250), Sm at (0.000, 0.497, 0.250), Dy at (0.188, 0.000, 0.000) and Ho at (0.000, 0.224, 0.750).

The calculation puts the total energy at -0.157 Ha/atom. Its density of states at the Fermi level is 8.323 states/eV/f.u. The value obtained for the volume is 34.89 Å³/atom. The value obtained for the energy of formation from the pure elements is 0.388 eV/atom.

An optimized crystal structure of Nd4SmDy2Ho, computed with PBE.

The space group is P2/m (No. 10) and the conventional cell measures 6.272, 3.633 and 11.939 Å, with angles of 90.00, 100.24 and 90.00 degrees. Symmetry generates all atoms from Nd at (0.249, 0.000, 0.248), Nd at (0.251, 0.500, 0.751), Sm at (0.500, 0.500, 0.500), Dy at (0.000, 0.000, 0.500), Dy at (0.000, 0.500, 0.000) and Ho at (0.500, 0.000, 0.000).

The calculation puts the total energy at -0.172 Ha/atom. Its density of states at the Fermi level is 10.799 states/eV/f.u. The value obtained for the volume is 33.46 Å³/atom. The value obtained for the energy of formation from the pure elements is 0.015 eV/atom.

An optimized crystal structure of NdSm5DyHo2, computed with PBE.

The space group is Cmc2_1 (No. 36) and the conventional cell measures 5.645, 20.227 and 10.700 Å, with angles of 90.00, 90.00 and 90.00 degrees. Symmetry generates all atoms from Nd at (0.000, 0.202, 0.000), Sm at (0.000, 0.017, 0.014), Sm at (0.000, 0.282, 0.298), Sm at (0.000, 0.298, 0.695), Sm at (0.000, 0.393, 0.016), Sm at (0.000, 0.479, 0.731), Dy at (0.000, 0.412, 0.446), Ho at (0.000, 0.110, 0.727) and Ho at (0.000, 0.116, 0.310).

The calculation puts the total energy at -0.167 Ha/atom. Its density of states at the Fermi level is 14.160 states/eV/f.u. The value obtained for the volume is 33.94 Å³/atom. The value obtained for the energy of formation from the pure elements is 0.149 eV/atom.

An optimized crystal structure of Nd4Sm2DyHo, computed with PBE.

The space group is P2/m (No. 10) and the conventional cell measures 5.137, 5.160 and 10.203 Å, with angles of 90.00, 90.10 and 90.00 degrees. Symmetry generates all atoms from Nd at (0.000, 0.000, 0.249), Nd at (0.500, 0.500, 0.250), Sm at (0.000, 0.500, 0.000), Sm at (0.500, 0.000, 0.500), Dy at (0.000, 0.500, 0.500) and Ho at (0.500, 0.000, 0.000).

The calculation puts the total energy at -0.173 Ha/atom. Its density of states at the Fermi level is 10.872 states/eV/f.u. The value obtained for the volume is 33.81 Å³/atom. The value obtained for the energy of formation from the pure elements is 0.014 eV/atom.

An optimized crystal structure of NdSm3Dy6Ho2, computed with PBE.

The space group is C2/m (No. 12) and the conventional cell measures 6.188, 10.711 and 11.825 Å, with angles of 90.00, 100.00 and 90.00 degrees. Symmetry generates all atoms from Nd at (0.000, 0.000, 0.000), Sm at (0.000, 0.167, 0.500), Sm at (0.000, 0.500, 0.500), Dy at (0.249, 0.333, 0.751), Dy at (0.249, 0.500, 0.249) and Ho at (0.000, 0.333, 0.000).

The calculation puts the total energy at -0.170 Ha/atom. Its density of states at the Fermi level is 15.057 states/eV/f.u. The value obtained for the volume is 32.16 Å³/atom. The value obtained for the energy of formation from the pure elements is 0.015 eV/atom.

An optimized crystal structure of NdSm6DyHo2, computed with PBE.

The space group is C2/c (No. 15) and the conventional cell measures 9.243, 15.192 and 9.619 Å, with angles of 90.00, 96.94 and 90.00 degrees. Symmetry generates all atoms from Nd at (0.000, 0.028, 0.250), Sm at (0.063, 0.180, 0.944), Sm at (0.097, 0.390, 0.118), Sm at (0.213, 0.225, 0.316), Dy at (0.000, 0.410, 0.750) and Ho at (0.249, 0.450, 0.453).

The calculation puts the total energy at -0.168 Ha/atom. Its density of states at the Fermi level is 14.338 states/eV/f.u. The value obtained for the volume is 33.52 Å³/atom. The value obtained for the energy of formation from the pure elements is 0.117 eV/atom.

An optimized crystal structure of NdSmDy6Ho2, computed with PBE.

The space group is C2/c (No. 15) and the conventional cell measures 9.117, 15.032 and 9.548 Å, with angles of 90.00, 97.03 and 90.00 degrees. Symmetry generates all atoms from Nd at (0.000, 0.027, 0.250), Sm at (0.000, 0.408, 0.750), Dy at (0.065, 0.184, 0.943), Dy at (0.098, 0.391, 0.118), Dy at (0.207, 0.227, 0.319) and Ho at (0.249, 0.052, 0.547).

The calculation puts the total energy at -0.165 Ha/atom. Its density of states at the Fermi level is 14.958 states/eV/f.u. The value obtained for the volume is 32.47 Å³/atom. The value obtained for the energy of formation from the pure elements is 0.123 eV/atom.

An optimized crystal structure of Nd2SmDy6Ho, computed with PBE.

The space group is C2/c (No. 15) and the conventional cell measures 9.050, 15.069 and 9.724 Å, with angles of 90.00, 98.89 and 90.00 degrees. Symmetry generates all atoms from Nd at (0.245, 0.051, 0.042), Sm at (0.000, 0.018, 0.750), Dy at (0.067, 0.190, 0.443), Dy at (0.100, 0.394, 0.620), Dy at (0.203, 0.224, 0.813) and Ho at (0.000, 0.407, 0.250).

The calculation puts the total energy at -0.166 Ha/atom. Its density of states at the Fermi level is 13.974 states/eV/f.u. The value obtained for the volume is 32.75 Å³/atom. The value obtained for the energy of formation from the pure elements is 0.116 eV/atom.

An optimized crystal structure of Nd3SmDy2Ho6, computed with PBE.

The space group is C2/m (No. 12) and the conventional cell measures 6.200, 10.735 and 11.797 Å, with angles of 90.00, 100.05 and 90.00 degrees. Symmetry generates all atoms from Nd at (0.000, 0.000, 0.000), Nd at (0.000, 0.333, 0.000), Sm at (0.000, 0.500, 0.500), Dy at (0.000, 0.167, 0.500), Ho at (0.249, 0.000, 0.747) and Ho at (0.250, 0.167, 0.253).

The calculation puts the total energy at -0.170 Ha/atom. Its density of states at the Fermi level is 14.886 states/eV/f.u. The value obtained for the volume is 32.22 Å³/atom. The value obtained for the energy of formation from the pure elements is 0.017 eV/atom.